[1]
Below is a relaxed Cs3Pr2SnSe6 crystal, with properties calculated at the PBE level.

Its density of states at the Fermi level is 0.464 states/eV/atom. As for the formation energy from raw total energies: -1579 kJ/mol of formula units. Its space group is No. 12. The value obtained for the total magnetic moment is 0.0 μB per formula unit.

Structure (extended XYZ):
```
12
Lattice="3.813 -6.605 0.000 3.813 6.605 0.000 -2.544 0.000 8.384" Properties=species:S:1:pos:R:3 pbc="T T T"
Cs 0.000 0.000 0.000
Cs 3.813 2.218 0.000
Cs 3.813 -2.218 0.000
Pr 2.541 4.405 4.192
Pr 2.541 -4.405 4.192
Sn 2.541 0.000 4.192
Se 1.299 2.153 2.609
Se 0.055 0.000 5.783
Se 1.299 -2.153 2.609
Se 3.783 2.153 5.775
Se 5.027 0.000 2.601
Se 3.783 -2.153 5.775
```

[2]
Below is a relaxed TiSbIO2 crystal, with properties calculated at the PBE level.

Its density of states at the Fermi level is 1.052 states/eV/atom. For the relative energy among the computed polymorphs, the calculation gives 0.618 eV per atom. As for the formation energy from raw total energies: -102 kJ/mol of formula units. Its space group is No. 123. The value obtained for the total magnetic moment is 2.7 μB per formula unit.

Structure (extended XYZ):
```
5
Lattice="4.106 0.000 0.000 0.000 4.106 0.000 0.000 0.000 6.499" Properties=species:S:1:pos:R:3 pbc="T T T"
Ti 0.000 0.000 0.000
Sb 2.053 2.053 3.250
I 2.053 2.053 0.000
O 0.000 2.053 3.250
O 2.053 0.000 3.250
```